Compound: Ti2TlGa2
Source: Alexandria via LeMat-Bulk
Functional: GGA-PBE
Structure: relaxed

**Total DFT energy (no corrections)**: -0.1815 hartree per atom
**Energy relative to the elements**: -96 meV per atom

Cell lengths 6.9868, 6.9868, 3.6565 Å; angles 90.00, 90.00, 90.00 degrees
Last column: nearest neighbours and their distance in Å.
Sites, in units of the cell vectors:
Ti: 0.1750 0.3250 0.0000  6 Ga 2.71-2.79
Ti: 0.3250 0.8250 0.0000  6 Ga 2.71-2.79
Ti: 0.6750 0.1750 0.0000  6 Ga 2.71-2.79
Ti: 0.8250 0.6750 0.0000  6 Ga 2.71-2.79
Tl: 0.0000 0.0000 0.5000  4 Ga 2.77
Tl: 0.5000 0.5000 0.5000  4 Ga 2.77
Ga: 0.1231 0.6231 0.5000  1 Ga 2.43, 2 Ti 2.71
Ga: 0.3769 0.1231 0.5000  1 Ga 2.43, 2 Ti 2.71
Ga: 0.6231 0.8769 0.5000  1 Ga 2.43, 2 Ti 2.71
Ga: 0.8769 0.3769 0.5000  1 Ga 2.43, 2 Ti 2.71

***

Compound: La2TbGa3Pd4
Source: Alexandria via LeMat-Bulk
Functional: GGA-PBE
Structure: relaxed

**Total DFT energy (no corrections)**: -0.1929 hartree per atom
**Energy relative to the elements**: -816 meV per atom

Cell lengths 4.3519, 4.3519, 11.3065 Å; angles 90.00, 90.00, 90.00 degrees
Last column: nearest neighbours and their distance in Å.
Sites, in units of the cell vectors:
La: 0.0000 0.5000 0.2282  4 Ga 3.32, 8 Pd 3.34-3.38
La: 0.5000 0.0000 0.7718  4 Ga 3.32, 8 Pd 3.34-3.38
Tb: 0.0000 0.0000 0.5000  4 Pd 2.81, 4 Ga 3.08
Ga: 0.0000 0.5000 0.8814  5 Pd 2.54-2.56
Ga: 0.5000 0.0000 0.1186  5 Pd 2.54-2.56
Ga: 0.5000 0.5000 0.5000  4 Pd 2.81, 4 Tb 3.08
Pd: 0.0000 0.0000 0.0000  4 Ga 2.56
Pd: 0.0000 0.5000 0.6572  3 Ga 2.54-2.81, 2 Tb 2.81
Pd: 0.5000 0.0000 0.3428  3 Ga 2.54-2.81, 2 Tb 2.81
Pd: 0.5000 0.5000 0.0000  4 Ga 2.56

***

Compound: SrCuSi
Source: Alexandria via LeMat-Bulk
Functional: GGA-PBE
Structure: relaxed

**Formation energy without anion corrections**: 0.752 eV/atom
**Total DFT energy (no corrections)**: -0.1096 hartree per atom

Cell lengths 6.9919, 6.9919, 6.9919 Å; angles 90.00, 90.00, 90.00 degrees
Last column: nearest neighbours and their distance in Å.
Sites, in units of the cell vectors:
Sr: 0.0000 0.0000 0.0000  4 Cu 3.03, 4 Si 3.03
Sr: 0.0000 0.5000 0.5000  4 Cu 3.03, 4 Si 3.03
Sr: 0.5000 0.0000 0.5000  4 Cu 3.03, 4 Si 3.03
Sr: 0.5000 0.5000 0.0000  4 Cu 3.03, 4 Si 3.03
Cu: 0.2500 0.2500 0.7500  4 Sr 3.03
Cu: 0.2500 0.7500 0.2500  4 Sr 3.03
Cu: 0.7500 0.2500 0.2500  4 Sr 3.03
Cu: 0.7500 0.7500 0.7500  4 Sr 3.03
Si: 0.2500 0.2500 0.2500  4 Sr 3.03
Si: 0.2500 0.7500 0.7500  4 Sr 3.03
Si: 0.7500 0.2500 0.7500  4 Sr 3.03
Si: 0.7500 0.7500 0.2500  4 Sr 3.03

***

Compound: Sr2CdPb2
Source: Alexandria via LeMat-Bulk
Functional: GGA-PBE
Structure: relaxed

**Total DFT energy (no corrections)**: -0.0915 hartree per atom
**Energy relative to the elements**: -150 meV per atom

Cell lengths 6.6283, 6.6283, 9.1683 Å; angles 90.00, 90.00, 90.00 degrees
Last column: nearest neighbours and their distance in Å.
Sites, in units of the cell vectors:
Sr: 0.0000 0.5000 0.2500  4 Pb 3.40
Sr: 0.0000 0.5000 0.7500  4 Pb 3.40
Sr: 0.5000 0.0000 0.2500  4 Pb 3.40
Sr: 0.5000 0.0000 0.7500  4 Pb 3.40
Cd: 0.0000 0.0000 0.0000  2 Pb 3.06
Cd: 0.5000 0.5000 0.5000  2 Pb 3.06
Pb: 0.0000 0.0000 0.3337  1 Pb 3.05, 1 Cd 3.06, 4 Sr 3.40
Pb: 0.0000 0.0000 0.6663  1 Pb 3.05, 1 Cd 3.06, 4 Sr 3.40
Pb: 0.5000 0.5000 0.1663  1 Pb 3.05, 1 Cd 3.06, 4 Sr 3.40
Pb: 0.5000 0.5000 0.8337  1 Pb 3.05, 1 Cd 3.06, 4 Sr 3.40

***

Compound: Dy3TmAu4
Source: Alexandria via LeMat-Bulk
Functional: GGA-PBE
Structure: relaxed

**Total DFT energy (no corrections)**: -0.1760 hartree per atom
**Energy relative to the elements**: -867 meV per atom

Cell lengths 3.5837, 3.5837, 14.3720 Å; angles 90.00, 90.00, 90.00 degrees
Last column: nearest neighbours and their distance in Å.
Sites, in units of the cell vectors:
Dy: 0.0000 0.0000 0.0000  8 Au 3.11
Dy: 0.0000 0.0000 0.2518  8 Au 3.12-3.13
Dy: 0.0000 0.0000 0.7482  8 Au 3.12-3.13
Tm: 0.0000 0.0000 0.5000  8 Au 3.07
Au: 0.5000 0.5000 0.1253  8 Dy 3.11-3.12
Au: 0.5000 0.5000 0.3794  4 Tm 3.07, 4 Dy 3.13
Au: 0.5000 0.5000 0.6206  4 Tm 3.07, 4 Dy 3.13
Au: 0.5000 0.5000 0.8747  8 Dy 3.11-3.12

***

Compound: YMoRu
Source: Alexandria via LeMat-Bulk
Functional: GGA-PBE
Structure: relaxed

**Total DFT energy (no corrections)**: -0.3173 hartree per atom
**Energy relative to the elements**: 224 meV per atom

Cell lengths 4.4481, 4.4481, 3.3895 Å; angles 90.00, 90.00, 120.00 degrees
Last column: nearest neighbours and their distance in Å.
Sites, in units of the cell vectors:
Y: 0.0000 0.0000 0.0000  6 Ru 2.96-3.21, 6 Mo 2.97-3.20
Mo: 0.6667 0.3333 0.4377  3 Ru 2.61
Ru: 0.3333 0.6667 0.5671  3 Mo 2.61

***

Compound: BaAlCd2Au
Source: Alexandria via LeMat-Bulk
Functional: GGA-PBE
Structure: relaxed

**Total DFT energy (no corrections)**: -0.0925 hartree per atom
**Energy relative to the elements**: -364 meV per atom

Cell lengths 4.5168, 4.8000, 12.2421 Å; angles 90.00, 90.00, 90.00 degrees
Last column: nearest neighbours and their distance in Å.
Sites, in units of the cell vectors:
Ba: 0.0000 0.0000 0.0000  8 Cd 3.59-3.97, 4 Au 3.61, 4 Al 3.75-3.95
Ba: 0.5000 0.5000 0.5000  8 Cd 3.59-3.97, 4 Au 3.61, 4 Al 3.75-3.95
Al: 0.0000 0.5000 0.7644  2 Au 2.67
Al: 0.5000 0.0000 0.2644  2 Au 2.67
Cd: 0.0000 0.0000 0.6157  2 Cd 2.85, 1 Au 2.89, 2 Al 3.01
Cd: 0.0000 0.5000 0.2580  2 Au 2.83, 2 Cd 2.85
Cd: 0.5000 0.0000 0.7580  2 Au 2.83, 2 Cd 2.85
Cd: 0.5000 0.5000 0.1157  2 Cd 2.85, 1 Au 2.89, 2 Al 3.01
Au: 0.0000 0.0000 0.3801  2 Al 2.67, 3 Cd 2.83-2.89
Au: 0.5000 0.5000 0.8801  2 Al 2.67, 3 Cd 2.83-2.89

***

Compound: Pr2ErHg5
Source: Alexandria via LeMat-Bulk
Functional: GGA-PBE
Structure: relaxed

**Total DFT energy (no corrections)**: -0.0866 hartree per atom
**Energy relative to the elements**: -403 meV per atom

Cell lengths 5.2203, 5.2203, 15.2975 Å; angles 90.00, 90.00, 90.00 degrees
Last column: nearest neighbours and their distance in Å.
Sites, in units of the cell vectors:
Pr: 0.0000 0.0000 0.2368  8 Hg 3.20-3.45
Pr: 0.0000 0.0000 0.7632  8 Hg 3.20-3.45
Pr: 0.5000 0.5000 0.2632  8 Hg 3.20-3.45
Pr: 0.5000 0.5000 0.7368  8 Hg 3.20-3.45
Er: 0.0000 0.0000 0.5000  8 Hg 3.15
Er: 0.5000 0.5000 0.0000  8 Hg 3.15
Hg: 0.0000 0.0000 0.0000  8 Hg 3.15
Hg: 0.0000 0.5000 0.1157  2 Hg 3.15, 2 Er 3.15, 4 Pr 3.20-3.45
Hg: 0.0000 0.5000 0.3843  2 Hg 3.15, 2 Er 3.15, 4 Pr 3.20-3.45
Hg: 0.0000 0.5000 0.6157  2 Hg 3.15, 2 Er 3.15, 4 Pr 3.20-3.45
Hg: 0.0000 0.5000 0.8843  2 Hg 3.15, 2 Er 3.15, 4 Pr 3.20-3.45
Hg: 0.5000 0.0000 0.1157  2 Hg 3.15, 2 Er 3.15, 4 Pr 3.20-3.45
Hg: 0.5000 0.0000 0.3843  2 Hg 3.15, 2 Er 3.15, 4 Pr 3.20-3.45
Hg: 0.5000 0.0000 0.6157  2 Hg 3.15, 2 Er 3.15, 4 Pr 3.20-3.45
Hg: 0.5000 0.0000 0.8843  2 Hg 3.15, 2 Er 3.15, 4 Pr 3.20-3.45
Hg: 0.5000 0.5000 0.5000  8 Hg 3.15

***

Compound: CeSm2RhN4
Source: Alexandria via LeMat-Bulk
Functional: GGA-PBE
Structure: relaxed

**Formation energy without anion corrections**: -0.944 eV/atom
**Total DFT energy (no corrections)**: -0.2921 hartree per atom

Cell lengths 6.1587, 6.1587, 11.8396 Å; angles 90.00, 90.00, 147.65 degrees
Last column: nearest neighbours and their distance in Å.
Sites, in units of the cell vectors:
Ce: 0.1129 0.8871 0.7500  6 N 2.52
Ce: 0.8871 0.1129 0.2500  6 N 2.52
Sm: 0.3705 0.6295 0.5493  4 N 2.37-2.59
Sm: 0.3705 0.6295 0.9507  4 N 2.37-2.59
Sm: 0.6295 0.3705 0.0493  4 N 2.37-2.59
Sm: 0.6295 0.3705 0.4507  4 N 2.37-2.59
Rh: 0.1492 0.8508 0.2500  4 N 2.07-2.13
Rh: 0.8508 0.1492 0.7500  4 N 2.07-2.13
N: 0.0000 0.0000 0.0000  4 Sm 2.37
N: 0.0000 0.0000 0.5000  4 Sm 2.37
N: 0.2808 0.7192 0.1351  1 Rh 2.07
N: 0.2808 0.7192 0.3649  1 Rh 2.07
N: 0.4570 0.5430 0.7500  2 Rh 2.13
N: 0.5430 0.4570 0.2500  2 Rh 2.13
N: 0.7192 0.2808 0.6351  1 Rh 2.07
N: 0.7192 0.2808 0.8649  1 Rh 2.07